Y2MgOs after structural relaxation, computed with GGA-PBE.

POSCAR file:
```
Y2MgOs
1.0
5.364 0.000 0.000
1.584 5.124 0.000
-3.474 -2.562 3.184
Os Y Mg
1 2 1
Cartesian
0.792 2.562 1.592 Os
0.000 0.000 0.000 Y
2.682 0.000 1.592 Y
3.474 2.562 0.000 Mg
```

Properties
SG ... I-4m2 (119)
Energy ... -25.32 eV for the cell shown
Crystal system ... tetragonal
ΔH_f (0 K) ... 0.11 eV/atom



Hg2TeRuS after structural relaxation, computed with GGA-PBE.

POSCAR file:
```
Hg2TeRuS
1.0
5.570 0.000 0.000
0.000 5.168 0.000
0.000 0.000 5.570
Hg Te Ru S
2 1 1 1
Cartesian
2.785 0.000 0.000 Hg
0.000 0.000 2.785 Hg
0.000 0.000 0.000 Te
2.785 2.584 2.785 Ru
0.000 2.584 0.000 S
```

Properties
SG ... P4/mmm (123)
Energy ... -10.64 eV for the cell shown
Raw formation energy ... 1.302 eV/atom
Crystal system ... tetragonal